Material: SrNdNp
Method: DFT, GGA-PBE
State: optimized geometry Values from VASP.

The structure in Quantum ESPRESSO input format:
```
&SYSTEM
  ibrav = 0, nat = 3, ntyp = 3
/
ATOMIC_SPECIES
Nd 144.24 Nd.upf
Np 237.00 Np.upf
Sr 87.62 Sr.upf
ATOMIC_POSITIONS crystal
Nd 0.0000 0.0000 0.0000
Np 0.7500 0.7500 0.7500
Sr 0.2500 0.2500 0.2500
CELL_PARAMETERS angstrom
5.2232 -1.1575 1.6651
0.9076 -2.1192 5.1068
1.6428 -5.3263 0.5715
```

Output
Its density is 6.26 Mg/m³. The uncorrected energy is -5.104 eV per atom.